CaZn2Tc2: relaxed, GGA-PBE.

Results
- Symmetry: No. 127
- Crystal system: tetragonal
- Calculated density: 7.03 g cm⁻³
- Calculated total energy: -4.903 eV/atom
- E_form: 73.8 kJ/mol of formula units

Cell lengths 7.8164, 7.8164, 2.8356 Å; angles 90.00, 90.00, 90.00 degrees
Closest atoms and distances in Å follow each position.
Sites, in units of the cell vectors:
Ca (0.0000, 0.0000, 0.0000)  2 Ca 2.84
Ca (0.5000, 0.5000, 0.0000)  2 Ca 2.84
Zn (0.1848, 0.3152, 0.5000)  6 Tc 2.72-2.75, 2 Zn 2.84
Zn (0.3152, 0.8152, 0.5000)  6 Tc 2.72-2.75, 2 Zn 2.84
Zn (0.6848, 0.1848, 0.5000)  6 Tc 2.72-2.75, 2 Zn 2.84
Zn (0.8152, 0.6848, 0.5000)  6 Tc 2.72-2.75, 2 Zn 2.84
Tc (0.1056, 0.6056, 0.0000)  1 Tc 2.33
Tc (0.3944, 0.1056, 0.0000)  1 Tc 2.33
Tc (0.6056, 0.8944, 0.0000)  1 Tc 2.33
Tc (0.8944, 0.3944, 0.0000)  1 Tc 2.33